Entry 1:
Entry from Alexandria via LeMat-Bulk: crystalline Pr6Cd3Ag at its relaxed geometry (PBE-GGA).

Cell lengths 9.423, 5.516, 12.224 Å; angles 90.00, 110.09, 90.00 degrees
Sites, in units of the cell vectors:
Pr 0.037 0.250 0.415
Pr 0.165 0.750 0.171
Pr 0.248 0.250 0.001
Pr 0.350 0.750 0.805
Pr 0.364 0.250 0.349
Pr 0.412 0.250 0.637
Pr 0.588 0.750 0.363
Pr 0.636 0.750 0.651
Pr 0.650 0.250 0.195
Pr 0.752 0.750 0.999
Pr 0.835 0.250 0.829
Pr 0.963 0.750 0.585
Cd 0.031 0.750 0.872
Cd 0.105 0.250 0.715
Cd 0.267 0.750 0.476
Cd 0.733 0.250 0.524
Cd 0.895 0.750 0.285
Cd 0.969 0.250 0.128
Ag 0.454 0.750 0.084
Ag 0.546 0.250 0.916

- total energy (eV/atom) = -3.63
- crystal system = monoclinic
- N(E_F) (states/eV/atom) = 1.0618
- calculated formation energy (meV/atom) = -206
- V (Å³/cell) = 596.6



Entry 2:
Entry from Alexandria via LeMat-Bulk: crystalline ReOs at its relaxed geometry (PBE-GGA).

Cell lengths 7.227, 7.227, 4.272 Å; angles 90.00, 90.00, 120.00 degrees
Sites, in units of the cell vectors:
Re 0.105 0.487 0.250
Re 0.382 0.895 0.250
Re 0.487 0.382 0.750
Re 0.513 0.618 0.250
Re 0.618 0.105 0.750
Re 0.895 0.513 0.750
Os 0.048 0.241 0.750
Os 0.193 0.952 0.750
Os 0.241 0.193 0.250
Os 0.759 0.807 0.750
Os 0.807 0.048 0.250
Os 0.952 0.759 0.250

- total energy (eV/atom) = -11.49
- polymorph energy (0 for the lowest one) (eV/atom) = 0.442
- crystal system = hexagonal
- N(E_F) (states/eV/atom) = 1.1254
- calculated formation energy (meV/atom) = 349
- V (Å³/cell) = 193.2



Entry 3:
Entry from Alexandria via LeMat-Bulk: crystalline Nd2Sn5Ru3 at its relaxed geometry (PBE-GGA).

Cell lengths 13.593, 13.593, 7.266 Å; angles 90.00, 90.00, 160.89 degrees
Sites, in units of the cell vectors:
Nd 0.023 0.977 0.500
Nd 0.326 0.674 0.479
Nd 0.674 0.326 0.979
Nd 0.977 0.023 0.000
Sn 0.097 0.903 0.129
Sn 0.207 0.793 0.686
Sn 0.210 0.790 0.263
Sn 0.377 0.623 0.993
Sn 0.450 0.550 0.330
Sn 0.550 0.450 0.830
Sn 0.623 0.377 0.493
Sn 0.790 0.210 0.763
Sn 0.793 0.207 0.186
Sn 0.903 0.097 0.629
Ru 0.106 0.894 0.751
Ru 0.276 0.724 0.973
Ru 0.450 0.550 0.715
Ru 0.550 0.450 0.215
Ru 0.724 0.276 0.473
Ru 0.894 0.106 0.251

- total energy (eV/atom) = -6.15
- crystal system = orthorhombic
- N(E_F) (states/eV/atom) = 0.8237
- calculated formation energy (meV/atom) = -412
- V (Å³/cell) = 439.5



Entry 4:
Entry from Alexandria via LeMat-Bulk: crystalline CaNi2Ag2 at its relaxed geometry (PBE-GGA).

Cell lengths 6.925, 6.925, 6.925 Å; angles 148.13, 148.13, 45.69 degrees
Sites, in units of the cell vectors:
Ca 0.000 0.000 0.000
Ni 0.250 0.750 0.500
Ni 0.750 0.250 0.500
Ag 0.390 0.390 0.000
Ag 0.610 0.610 0.000

- total energy (eV/atom) = -3.71
- polymorph energy (0 for the lowest one) (eV/atom) = 0.093
- crystal system = tetragonal
- N(E_F) (states/eV/atom) = 0.8744
- calculated formation energy (meV/atom) = 144
- V (Å³/cell) = 92.2



Entry 5:
Entry from Alexandria via LeMat-Bulk: crystalline K2Tl3In at its relaxed geometry (PBE-GGA).

Cell lengths 8.627, 8.627, 7.858 Å; angles 103.17, 103.17, 48.47 degrees
Sites, in units of the cell vectors:
K 0.182 0.184 0.092
K 0.184 0.182 0.592
K 0.816 0.818 0.408
K 0.818 0.816 0.908
Tl 0.216 0.784 0.750
Tl 0.386 0.387 0.443
Tl 0.387 0.386 0.943
Tl 0.613 0.614 0.057
Tl 0.614 0.613 0.557
Tl 0.784 0.216 0.250
In 0.240 0.760 0.250
In 0.760 0.240 0.750

- total energy (eV/atom) = -2.12
- polymorph energy (0 for the lowest one) (eV/atom) = 0.000
- crystal system = monoclinic
- N(E_F) (states/eV/atom) = 0.2871
- calculated formation energy (meV/atom) = -110
- V (Å³/cell) = 423.9



Entry 6:
Entry from Alexandria via LeMat-Bulk: crystalline ErZrCdCu at its relaxed geometry (PBE-GGA).

Cell lengths 4.949, 4.949, 4.949 Å; angles 60.00, 60.00, 60.00 degrees
Sites, in units of the cell vectors:
Er 0.000 0.000 0.000
Zr 0.500 0.500 0.500
Cd 0.750 0.750 0.750
Cu 0.250 0.250 0.250

- total energy (eV/atom) = -4.61
- crystal system = cubic
- N(E_F) (states/eV/atom) = 1.0083
- calculated formation energy (meV/atom) = -75
- V (Å³/cell) = 85.7



The highest N(E_F) belongs to which entry? ReOs



What did the first record say?
Entry from Alexandria via LeMat-Bulk: crystalline Pr6Cd3Ag at its relaxed geometry (PBE-GGA).

Cell lengths 9.423, 5.516, 12.224 Å; angles 90.00, 110.09, 90.00 degrees
Sites, in units of the cell vectors:
Pr 0.037 0.250 0.415
Pr 0.165 0.750 0.171
Pr 0.248 0.250 0.001
Pr 0.350 0.750 0.805
Pr 0.364 0.250 0.349
Pr 0.412 0.250 0.637
Pr 0.588 0.750 0.363
Pr 0.636 0.750 0.651
Pr 0.650 0.250 0.195
Pr 0.752 0.750 0.999
Pr 0.835 0.250 0.829
Pr 0.963 0.750 0.585
Cd 0.031 0.750 0.872
Cd 0.105 0.250 0.715
Cd 0.267 0.750 0.476
Cd 0.733 0.250 0.524
Cd 0.895 0.750 0.285
Cd 0.969 0.250 0.128
Ag 0.454 0.750 0.084
Ag 0.546 0.250 0.916

- total energy (eV/atom) = -3.63
- crystal system = monoclinic
- N(E_F) (states/eV/atom) = 1.0618
- calculated formation energy (meV/atom) = -206
- V (Å³/cell) = 596.6